Material: Er2PaCrO8
Method: DFT, PBE with a Hubbard U
State: optimized geometry

## Properties
For the total magnetization, the calculation gives 0.98 μB/cell. Its volume is 13.63 A^3/atom. The final energy comes out at -100.08 eV per cell.

Lattice parameters (Å, degrees): 4.950 6.677 4.951 90.00 90.92 90.00
Space group P2/m (No. 10)
Unique sites:
Er 0.000 0.243 0.000 [2 per cell]
Pa 0.500 0.500 0.500 [1 per cell]
Cr 0.500 0.000 0.500 [1 per cell]
O 0.195 0.500 0.193 [2 per cell]
O 0.241 0.000 0.240 [2 per cell]
O 0.316 0.228 0.683 [4 per cell]